[1]
Computed, not measured: crystalline LaY3Zr at its relaxed geometry at the PBE level of DFT.

Cell: 5.6301 5.6301 5.6301 Å, 90.00 90.00 90.00°
With the nearest neighbours (Å) after each atom.
Element x y z (fractional)
Y (0.5000, 0.0000, 0.0000)  2 Zr 2.82
Y (0.0000, 0.0000, 0.5000)  2 Zr 2.82
La (0.5000, 0.5000, 0.5000)  12 Y 3.98
Zr (0.0000, 0.0000, 0.0000)  6 Y 2.82
Y (0.0000, 0.5000, 0.0000)  2 Zr 2.82

Results
Energy relative to the lowest polymorph listed for this composition in eV/atom: 0.000

[2]
Computed, not measured: crystalline LaY14Zr at its relaxed geometry at the PBE level of DFT.

Cell: 7.1309 7.1309 9.9938 Å, 90.00 90.00 89.96°
With the nearest neighbours (Å) after each atom.
Element x y z (fractional)
Y (0.3749, 0.6251, 0.5000)  12 Y 3.54-3.57
La (0.8749, 0.1251, 0.0000)  12 Y 3.56-3.57
Y (0.3751, 0.1250, 0.5000)  12 Y 3.57-3.59
Y (0.1314, 0.3814, 0.7549)  1 Zr 3.47, 10 Y 3.48-3.65, 1 La 3.56
Y (0.6186, 0.8686, 0.2451)  1 Zr 3.47, 10 Y 3.48-3.65, 1 La 3.56
Y (0.8752, 0.1248, 0.5000)  12 Y 3.57-3.63
Y (0.6186, 0.8686, 0.7549)  1 Zr 3.47, 10 Y 3.48-3.65, 1 La 3.56
Y (0.3750, 0.1251, 0.0000)  8 Y 3.51-3.52, 2 Zr 3.56-3.57, 2 La 3.56-3.57
Y (0.1312, 0.8688, 0.7550)  1 Zr 3.47, 10 Y 3.48-3.65, 1 La 3.56
Y (0.1314, 0.3814, 0.2451)  1 Zr 3.47, 10 Y 3.48-3.65, 1 La 3.56
Y (0.6188, 0.3812, 0.2452)  1 Zr 3.47, 10 Y 3.48-3.65, 1 La 3.56
Y (0.1312, 0.8688, 0.2450)  1 Zr 3.47, 10 Y 3.48-3.65, 1 La 3.56
Y (0.6188, 0.3812, 0.7548)  1 Zr 3.47, 10 Y 3.48-3.65, 1 La 3.56
Y (0.8749, 0.6250, 0.0000)  8 Y 3.51-3.52, 2 Zr 3.56-3.57, 2 La 3.56-3.57
Y (0.8750, 0.6249, 0.5000)  12 Y 3.57-3.59
Zr (0.3750, 0.6250, 0.0000)  12 Y 3.47-3.57

[3]
Computed, not measured: crystalline La14YZr at its relaxed geometry at the PBE level of DFT.

Cell: 7.3307 7.3307 10.4349 Å, 90.00 90.00 89.99°
With the nearest neighbours (Å) after each atom.
Element x y z (fractional)
La (0.6165, 0.3835, 0.2427)  10 La 3.54-3.79, 1 Zr 3.56, 1 Y 3.69
La (0.3749, 0.1249, 0.5000)  12 La 3.66-3.74
Zr (0.3752, 0.6248, 0.0000)  12 La 3.56-3.67
La (0.8751, 0.1249, 0.5000)  12 La 3.66-3.80
La (0.1336, 0.3835, 0.7575)  10 La 3.54-3.80, 1 Zr 3.56, 1 Y 3.69
La (0.1336, 0.3835, 0.2425)  10 La 3.54-3.80, 1 Zr 3.56, 1 Y 3.69
La (0.6165, 0.3835, 0.7573)  10 La 3.54-3.79, 1 Zr 3.56, 1 Y 3.69
La (0.1335, 0.8665, 0.7579)  10 La 3.54-3.80, 1 Zr 3.56, 1 Y 3.68
La (0.6165, 0.8664, 0.7575)  10 La 3.54-3.80, 1 Zr 3.56, 1 Y 3.69
La (0.3748, 0.6252, 0.5000)  12 La 3.66-3.67
Y (0.8749, 0.1251, 0.0000)  12 La 3.66-3.69
La (0.3751, 0.1251, 0.0000)  8 La 3.62, 2 Zr 3.66-3.67, 2 Y 3.66-3.67
La (0.8749, 0.6249, 0.0000)  8 La 3.62, 2 Zr 3.66-3.67, 2 Y 3.66-3.67
La (0.8751, 0.6251, 0.5000)  12 La 3.66-3.74
La (0.6165, 0.8664, 0.2425)  10 La 3.54-3.80, 1 Zr 3.56, 1 Y 3.69
La (0.1335, 0.8665, 0.2421)  10 La 3.54-3.80, 1 Zr 3.56, 1 Y 3.68

In the order shown, the computed ΔH_f (0 K) values come out to 0.49; 0.05; 0.04 eV/atom.
In the order shown, the computed density of states at the Fermi level values come out to 1.809; 1.425; 1.653 states/eV per atom.